1.
19
Lattice="7.778 0.000 -2.750 -3.889 6.736 -2.750 0.000 0.000 8.249" Properties=species:S:1:pos:R:3 comment="GGA-PBE Tm12Co6Sb, optimized geometry" energy_ha_per_atom=-0.2069 formation_energy_uncorrected_kcal_per_mol_atoms=-7.967 pbc="T T T"
Tm 1.943 0.723 5.501
Tm 0.418 3.366 -0.591
Tm 3.471 3.370 3.340
Tm 1.945 6.012 -2.751
Tm -2.291 5.414 -0.001
Tm 3.124 1.321 0.591
Tm 0.765 5.414 2.159
Tm 6.180 1.321 2.751
Tm 5.071 2.045 -2.159
Tm 0.345 2.045 2.748
Tm 3.543 4.691 0.001
Tm -1.182 4.691 4.909
Co 1.058 3.368 4.873
Co 2.830 3.368 -2.123
Co 0.443 5.968 -0.627
Co 3.446 0.767 3.376
Co 5.390 2.600 0.627
Co -1.501 4.135 2.123
Sb 0.000 0.000 0.000

2.
8
Lattice="4.095 0.000 0.000 0.000 4.095 0.000 2.047 2.047 9.932" Properties=species:S:1:pos:R:3 comment="GGA-PBE AgBiOs2, optimized geometry" delta_e_f_kj_per_mol_atoms=97.26 energy_ha_per_atom=-0.2311 pbc="T T T"
Os 2.669 1.024 2.483
Os 1.426 3.071 2.483
Os 3.071 3.473 7.449
Os 5.118 4.716 7.449
Bi 0.000 0.000 0.000
Bi 4.095 2.047 4.966
Ag 2.047 2.047 0.000
Ag 2.047 4.095 4.966

3.
5
Lattice="6.382 0.000 0.000 0.000 6.382 0.000 0.000 0.000 7.377" Properties=species:S:1:pos:R:3 comment="GGA-PBE KRbBa2Cl, optimized geometry" energy_ha_per_atom=-0.0791 formation_energy_uncorrected_kcal_per_mol_atoms=-13.850 polymorph_energy_mev_per_atom=0 pbc="T T T"
K 3.191 3.191 3.688
Ba 0.000 3.191 0.000
Ba 3.191 0.000 0.000
Rb 0.000 0.000 3.688
Cl 0.000 0.000 0.000

Number 1: DOS(E_F) 8.40 states/eV/cell. Number 2: DOS(E_F) 4.10 states/eV/cell. Number 3: DOS(E_F) 5.44 states/eV/cell.